No. 1
First-principles (GGA-PBEsol) data for an optimized crystal structure of YNiO3, as listed in Alexandria via LeMat-Bulk.

Values from the calculation:
* symmetry: No. 62

a b c (Å): 5.127 5.492 7.300
angles (deg): 90.00 90.00 90.00
Sites, in units of the cell vectors:
Y: 0.479 0.425 0.750
Y: 0.021 0.925 0.750
Y: 0.521 0.575 0.250
Y: 0.979 0.075 0.250
Ni: 0.000 0.500 0.000
Ni: 0.500 0.000 0.500
Ni: 0.000 0.500 0.500
Ni: 0.500 0.000 0.000
O: 0.694 0.302 0.451
O: 0.806 0.802 0.049
O: 0.306 0.698 0.549
O: 0.194 0.198 0.951
O: 0.194 0.198 0.549
O: 0.306 0.698 0.951
O: 0.806 0.802 0.451
O: 0.694 0.302 0.049
O: 0.099 0.473 0.250
O: 0.401 0.973 0.250
O: 0.901 0.527 0.750
O: 0.599 0.027 0.750

No. 2
First-principles (GGA-PBEsol) data for an optimized crystal structure of Y3NiO, as listed in Alexandria via LeMat-Bulk.

Values from the calculation:
* symmetry: No. 221

a b c (Å): 4.598 4.598 4.598
angles (deg): 90.00 90.00 90.00
Sites, in units of the cell vectors:
Y: 0.000 0.500 0.000
Y: 0.000 0.000 0.500
Y: 0.500 0.000 0.000
Ni: 0.500 0.500 0.500
O: 0.000 0.000 0.000

No. 3
First-principles (GGA-PBEsol) data for an optimized crystal structure of YNiO3, as listed in Alexandria via LeMat-Bulk.

Values from the calculation:
* symmetry: No. 221

a b c (Å): 3.692 3.692 3.692
angles (deg): 90.00 90.00 90.00
Sites, in units of the cell vectors:
Y: 0.000 0.000 0.000
Ni: 0.500 0.500 0.500
O: 0.500 0.500 0.000
O: 0.500 0.000 0.500
O: 0.000 0.500 0.500

No. 4
First-principles (GGA-PBEsol) data for an optimized crystal structure of ZnNi4O5, as listed in Alexandria via LeMat-Bulk.

Values from the calculation:
* polymorph energy (0 for the lowest one): 0.00 kcal/mol of atoms
* symmetry: No. 12

a b c (Å): 2.943 6.542 9.710
angles (deg): 102.10 90.00 103.00
Sites, in units of the cell vectors:
Zn: 0.900 0.800 0.699
Zn: 0.100 0.200 0.301
Ni: 0.600 0.200 0.801
Ni: 0.300 0.600 0.902
Ni: 0.400 0.800 0.199
Ni: 0.700 0.400 0.098
Ni: 0.799 0.598 0.397
Ni: 0.000 0.000 0.000
Ni: 0.201 0.402 0.603
Ni: 0.500 0.000 0.500
O: 0.749 0.497 0.752
O: 0.848 0.696 0.050
O: 0.453 0.905 0.856
O: 0.152 0.304 0.950
O: 0.251 0.503 0.248
O: 0.547 0.095 0.144
O: 0.652 0.303 0.454
O: 0.348 0.697 0.546
O: 0.949 0.898 0.350
O: 0.051 0.102 0.650

No. 5
First-principles (GGA-PBEsol) data for an optimized crystal structure of ZnNi4O8, as listed in Alexandria via LeMat-Bulk.

Values from the calculation:
* symmetry: No. 166

a b c (Å): 5.637 5.637 5.857
angles (deg): 61.23 61.23 60.00
Sites, in units of the cell vectors:
Zn: 0.500 0.500 0.500
Ni: 0.000 0.000 0.000
Ni: 0.500 0.000 0.000
Ni: 0.500 0.500 0.000
Ni: 0.000 0.500 0.000
O: 0.269 0.269 0.194
O: 0.731 0.731 0.806
O: 0.756 0.284 0.204
O: 0.716 0.244 0.796
O: 0.244 0.716 0.796
O: 0.244 0.244 0.796
O: 0.756 0.756 0.204
O: 0.284 0.756 0.204

No. 6
First-principles (GGA-PBEsol) data for an optimized crystal structure of ZnNi4O5, as listed in Alexandria via LeMat-Bulk.

Values from the calculation:
* polymorph energy (0 for the lowest one): 1.91 kcal/mol of atoms
* symmetry: No. 87

a b c (Å): 4.131 5.053 5.053
angles (deg): 80.38 65.87 65.87
Sites, in units of the cell vectors:
Zn: 0.000 0.000 0.000
Ni: 0.399 0.799 0.402
Ni: 0.198 0.402 0.201
Ni: 0.802 0.598 0.799
Ni: 0.601 0.201 0.598
O: 0.500 0.000 0.000
O: 0.115 0.192 0.578
O: 0.885 0.808 0.422
O: 0.693 0.422 0.192
O: 0.307 0.578 0.808

No. 7
First-principles (GGA-PBEsol) data for an optimized crystal structure of Zn2Ni3O8, as listed in Alexandria via LeMat-Bulk.

Values from the calculation:
* symmetry: No. 12

a b c (Å): 4.819 5.597 5.560
angles (deg): 120.22 102.02 90.00
Sites, in units of the cell vectors:
Zn: 0.617 0.708 0.416
Zn: 0.383 0.292 0.584
Ni: 0.500 0.000 0.000
Ni: 0.000 0.251 0.000
Ni: 0.000 0.749 0.000
O: 0.076 0.390 0.780
O: 0.924 0.610 0.220
O: 0.118 0.899 0.797
O: 0.882 0.101 0.203
O: 0.372 0.888 0.227
O: 0.372 0.339 0.227
O: 0.628 0.661 0.773
O: 0.628 0.112 0.773

No. 8
First-principles (GGA-PBEsol) data for an optimized crystal structure of ZnNiO2, as listed in Alexandria via LeMat-Bulk.

Values from the calculation:
* symmetry: No. 166

a b c (Å): 3.006 3.006 5.937
angles (deg): 75.33 75.33 60.00
Sites, in units of the cell vectors:
Ni: 0.000 0.000 0.000
Zn: 0.500 0.500 0.500
O: 0.898 0.898 0.306
O: 0.102 0.102 0.694

no.,E (eV per atom),raw formation energy (meV per atom)
1,-8.001,-2255
2,-7.539,-1165
3,-7.816,-2071
4,-5.966,-720
5,-6.077,-830
6,-5.883,-637
7,-5.844,-949
8,-5.365,-806